Material: Al2Tc2Ge
Method: DFT, PBE-GGA
State: relaxed

Summary:
- ρ: 6.80 g/cm3
- E_form: 0.10 eV per atom

Lattice parameters (Å, degrees): 3.4366 3.4366 13.3467 90.00 90.00 90.00
With the nearest neighbours (Å) after each atom.
Space group I4/mmm (No. 139)
Symmetry-distinct sites (fractional):
1 Al 0.0000 0.5000 0.2500 [4 per cell]  4 Al 2.43, 4 Tc 2.63
2 Tc 0.0000 0.0000 0.1006 [4 per cell]  4 Al 2.63, 1 Tc 2.68, 4 Ge 2.78
3 Ge 0.0000 0.0000 0.5000 [2 per cell]  8 Tc 2.78



Material: HoPa3N4
Method: DFT, PBE-GGA
State: relaxed

Summary:
- ρ: 12.66 g/cm3
- Uncorrected formation energy: -1649 meV/atom

Lattice parameters (Å, degrees): 6.0439 6.9756 6.0312 90.00 109.48 90.00
With the nearest neighbours (Å) after each atom.
Space group P2/c (No. 13)
Symmetry-distinct sites (fractional):
1 Ho 0.0000 0.1246 0.2500 [2 per cell]  6 N 2.44-2.48
2 Pa 0.0000 0.3746 0.7500 [2 per cell]  6 N 2.45-2.47
3 Pa 0.5000 0.1247 0.7500 [2 per cell]  6 N 2.45-2.46
4 Pa 0.5000 0.3746 0.2500 [2 per cell]  6 N 2.46-2.49
5 N 0.2465 0.3721 0.4991 [4 per cell]  1 Ho 2.44, 5 Pa 2.45-2.49
6 N 0.2514 0.1252 0.9990 [4 per cell]  4 Pa 2.45-2.46, 2 Ho 2.47-2.48